Entry 1:
# Li2VSn2 (GGA-PBE, optimized geometry)
data_Li2VSn2
_symmetry_space_group_name_H-M 'P 1'
_symmetry_Int_Tables_number 1
_cell_length_a 7.4870
_cell_length_b 7.4870
_cell_length_c 3.5289
_cell_angle_alpha 90.00
_cell_angle_beta 90.00
_cell_angle_gamma 90.00
loop_
_symmetry_equiv_pos_as_xyz
'x,y,z'
loop_
_atom_site_label
_atom_site_type_symbol
_atom_site_fract_x
_atom_site_fract_y
_atom_site_fract_z
V1 V 0.0000 0.0000 0.0000
V2 V 0.5000 0.5000 0.0000
Sn1 Sn 0.3557 0.8557 0.0000
Sn2 Sn 0.8557 0.6443 0.0000
Sn3 Sn 0.6443 0.1443 0.0000
Sn4 Sn 0.1443 0.3557 0.0000
Li1 Li 0.1583 0.6583 0.5000
Li2 Li 0.6583 0.8417 0.5000
Li3 Li 0.8417 0.3417 0.5000
Li4 Li 0.3417 0.1583 0.5000
# - Crystal system: tetragonal
# - Uncorrected energy: -0.1530 hartree per atom
# - Space-group type: P4/mbm

***

Entry 2:
# LiVSn3 (GGA-PBE, optimized geometry)
data_LiVSn3
_symmetry_space_group_name_H-M 'P 1'
_symmetry_Int_Tables_number 1
_cell_length_a 4.9238
_cell_length_b 4.9238
_cell_length_c 4.9238
_cell_angle_alpha 90.00
_cell_angle_beta 90.00
_cell_angle_gamma 90.00
loop_
_symmetry_equiv_pos_as_xyz
'x,y,z'
loop_
_atom_site_label
_atom_site_type_symbol
_atom_site_fract_x
_atom_site_fract_y
_atom_site_fract_z
V1 V 0.5000 0.5000 0.5000
Sn1 Sn 0.0000 0.5000 0.0000
Sn2 Sn 0.0000 0.0000 0.5000
Sn3 Sn 0.5000 0.0000 0.0000
Li1 Li 0.0000 0.0000 0.0000
# - Crystal system: cubic
# - Uncorrected energy: -0.1475 hartree per atom
# - Polymorph energy (0 for the lowest one): 47.3 kJ per mole of atoms
# - Space-group type: Pm-3m

***

Entry 3:
# LiV3Sn (GGA-PBE, optimized geometry)
data_LiV3Sn
_symmetry_space_group_name_H-M 'P 1'
_symmetry_Int_Tables_number 1
_cell_length_a 5.1686
_cell_length_b 5.1686
_cell_length_c 5.1686
_cell_angle_alpha 90.00
_cell_angle_beta 90.00
_cell_angle_gamma 90.00
loop_
_symmetry_equiv_pos_as_xyz
'x,y,z'
loop_
_atom_site_label
_atom_site_type_symbol
_atom_site_fract_x
_atom_site_fract_y
_atom_site_fract_z
V1 V 0.0000 0.5000 0.0000
V2 V 0.0000 0.0000 0.5000
V3 V 0.5000 0.0000 0.0000
Sn1 Sn 0.0000 0.0000 0.0000
Li1 Li 0.5000 0.5000 0.5000
# - Crystal system: cubic
# - Uncorrected energy: -0.1925 hartree per atom
# - Polymorph energy (0 for the lowest one): 55.4 kJ per mole of atoms
# - Space-group type: Pm-3m